[1]
Computed, not measured: a relaxed structure of Ho4Te5P at the PBE level of DFT.

a = 4.1961 Å, b = 8.4864 Å, c = 9.4818 Å
α = 102.01°, β = 102.78°, γ = 90.00°
With the nearest neighbours (Å) after each atom.
Fractional positions:
Ho1 0.3401 0.9144 0.6802  1 P 2.89, 5 Te 3.00-3.10
Ho2 0.0007 0.7663 0.0014  2 P 2.89, 4 Te 3.00-3.08
Ho3 0.6599 0.0856 0.3198  1 P 2.89, 5 Te 3.00-3.10
Ho4 0.9993 0.2337 0.9986  2 P 2.89, 4 Te 3.00-3.08
Te1 0.8353 0.6590 0.6706  3 Ho 3.00
Te2 0.8313 0.1739 0.6625  4 Ho 3.04-3.10
Te3 0.1687 0.8261 0.3375  4 Ho 3.04-3.10
Te4 0.5000 0.5000 0.0000  4 Ho 3.08
Te5 0.1647 0.3410 0.3294  3 Ho 3.00
P1 0.5000 0.0000 0.0000  6 Ho 2.89

Properties
- crystal system = monoclinic
- total DFT energy (no corrections) (eV per atom) = -5.22
- space-group type = C2/m
- raw formation energy (eV/atom) = -1.28

=====

[2]
Computed, not measured: a relaxed structure of Ho4Te3P at the PBE level of DFT.

a = 4.1851 Å, b = 7.4294 Å, c = 7.4294 Å
α = 108.72°, β = 90.00°, γ = 90.00°
With the nearest neighbours (Å) after each atom.
Fractional positions:
Ho1 0.0000 0.2139 0.2139  2 P 2.79, 2 Te 3.04
Ho2 0.5000 0.7734 0.2266  1 P 2.74, 4 Te 3.02
Ho3 0.0000 0.7861 0.7861  2 P 2.79, 2 Te 3.04
Ho4 0.5000 0.2266 0.7734  1 P 2.74, 4 Te 3.02
Te1 0.0000 0.0000 0.5000  6 Ho 3.02-3.04
Te2 0.5000 0.5000 0.5000  6 Ho 3.24-3.30
Te3 0.0000 0.5000 0.0000  6 Ho 3.02-3.04
P1 0.5000 0.0000 0.0000  6 Ho 2.74-2.79

Properties
- crystal system = orthorhombic
- total DFT energy (no corrections) (eV per atom) = -5.55
- space-group type = Cmmm
- raw formation energy (eV/atom) = -1.40

=====

[3]
Computed, not measured: a relaxed structure of Ho6TeP5 at the PBE level of DFT.

a = 7.0100 Å, b = 7.0181 Å, c = 7.0068 Å
α = 59.95°, β = 80.36°, γ = 70.46°
With the nearest neighbours (Å) after each atom.
Fractional positions:
P1 0.5000 0.1614 0.6771  6 Ho 2.75-2.89
P2 0.0000 0.3327 0.3347  6 Ho 2.84-2.85
P3 0.5000 0.5000 0.0000  6 Ho 2.72-2.88
P4 0.0000 0.6673 0.6653  6 Ho 2.84-2.85
P5 0.5000 0.8386 0.3229  6 Ho 2.75-2.89
Te1 0.0000 0.0000 0.0000  6 Ho 3.01
Ho1 0.7399 0.0870 0.3529  5 P 2.75-2.89, 1 Te 3.01
Ho2 0.2601 0.5601 0.3529  5 P 2.75-2.89, 1 Te 3.01
Ho3 0.2594 0.2658 0.0000  5 P 2.72-2.85, 1 Te 3.01
Ho4 0.7406 0.7342 0.0000  5 P 2.72-2.85, 1 Te 3.01
Ho5 0.7399 0.4399 0.6471  5 P 2.75-2.89, 1 Te 3.01
Ho6 0.2601 0.9130 0.6471  5 P 2.75-2.89, 1 Te 3.01

Properties
- crystal system = monoclinic
- total DFT energy (no corrections) (eV per atom) = -6.39
- space-group type = C2/m
- raw formation energy (eV/atom) = -1.59